Compound: HfThPb2
Source: the Alexandria database
Functional: PBE
Structure: relaxed

E_tot ... -0.229 Ha/atom
Magnetization ... 0.00 μB/cell
Energy above the lowest structure with this stoichiometry ... 6 meV per atom
Symmetry ... No. 123
Mass density ... 12.6 g/cm³

abc: 4.886 4.886 4.560
angles: 90.00 90.00 90.00
Fractional positions:
Hf 0.000 0.000 0.000
Th 0.500 0.500 0.000
Pb 0.000 0.500 0.500
Pb 0.500 0.000 0.500

---

Compound: Sr3HgBr2Cl6
Source: the Alexandria database
Functional: PBE
Structure: relaxed

Energy relative to the elements, uncorrected ... -1.87 eV per atom
E_tot ... -0.129 Ha/atom
Magnetization ... 0.00 μB/cell
Symmetry ... No. 12
Mass density ... 3.4 g/cm³

abc: 8.457 8.457 6.459
angles: 92.64 92.64 61.61
Fractional positions:
Sr 0.000 0.000 0.000
Sr 0.000 0.500 0.500
Sr 0.500 0.000 0.500
Hg 0.500 0.500 0.500
Br 0.185 0.185 0.791
Br 0.815 0.815 0.209
Cl 0.175 0.675 0.734
Cl 0.325 0.825 0.266
Cl 0.345 0.345 0.286
Cl 0.655 0.655 0.714
Cl 0.675 0.175 0.734
Cl 0.825 0.325 0.266

---

Compound: MgCr2GaNi
Source: the Alexandria database
Functional: PBE
Structure: relaxed

E_tot ... -0.189 Ha/atom
Magnetization ... 7.36 μB/cell
Symmetry ... No. 123
Mass density ... 4.4 g/cm³

abc: 4.714 4.714 4.369
angles: 90.00 90.00 90.00
Fractional positions:
Mg 0.000 0.000 0.000
Cr 0.000 0.500 0.500
Cr 0.500 0.000 0.500
Ga 0.500 0.500 0.500
Ni 0.500 0.500 0.000